{"formula": "CsLiDyF6", "functional": "PBE", "state": "relaxed", "total_magnetization_mub_per_cell": 2.0, "e_form_raw_mev_per_atom": -3069, "n_ef_per_ev_atom": 0.28, "e_tot_ev_per_atom": -5.14, "sg": "Imma (74)", "cell": [[-3.836, 3.905, 4.852], [3.836, -3.905, 4.852], [3.836, 3.905, -4.852]], "species": ["Cs", "Cs", "Li", "Li", "Dy", "Dy", "F", "F", "F", "F", "F", "F", "F", "F", "F", "F", "F", "F"], "fractional_positions": [[0.419, 0.169, 0.250], [0.581, 0.831, 0.750], [0.000, 0.500, 0.500], [0.500, 0.500, 0.000], [0.000, 0.000, 0.500], [0.000, 0.500, 0.000], [0.118, 0.868, 0.250], [0.131, 0.420, 0.290], [0.131, 0.841, 0.711], [0.155, 0.405, 0.750], [0.370, 0.159, 0.790], [0.370, 0.580, 0.211], [0.630, 0.420, 0.789], [0.630, 0.841, 0.210], [0.845, 0.595, 0.250], [0.869, 0.159, 0.289], [0.869, 0.580, 0.710], [0.882, 0.132, 0.750]]}